Entry 1:
The following is a GGA-PBEsol calculation of crystalline Ho7FeI12 at its relaxed geometry, from Alexandria.

Calculated values
For the formation energy from raw total energies, the calculation gives -1.167 eV/atom. The value obtained for the density of states at the Fermi level is 11.60 states/eV/cell. As for the crystal system: trigonal. The space group is R-3.

abc: 9.422 9.422 9.422
angles: 106.90 106.90 106.90
Element x y z (fractional)
1 I 0.343 0.032 0.113
2 I 0.573 0.729 0.175
3 I 0.427 0.271 0.825
4 I 0.271 0.825 0.427
5 I 0.175 0.573 0.729
6 I 0.032 0.113 0.343
7 I 0.657 0.968 0.887
8 I 0.825 0.427 0.271
9 I 0.887 0.657 0.968
10 I 0.968 0.887 0.657
11 I 0.729 0.175 0.573
12 I 0.113 0.343 0.032
13 Ho 0.792 0.522 0.594
14 Ho 0.522 0.594 0.792
15 Ho 0.406 0.208 0.478
16 Ho 0.594 0.792 0.522
17 Ho 0.208 0.478 0.406
18 Ho 0.000 0.000 0.000
19 Ho 0.478 0.406 0.208
20 Fe 0.500 0.500 0.500

Entry 2:
The following is a GGA-PBEsol calculation of crystalline Ho12In3Fe2 at its relaxed geometry, from Alexandria.

Calculated values
The value obtained for the density of states at the Fermi level is 12.00 states/eV/cell. As for the crystal system: tetragonal. The space group is I4/mmm. As for the formation energy: -240 meV per atom.

abc: 8.249 8.249 8.249
angles: 107.53 110.45 110.45
Element x y z (fractional)
1 Ho 0.247 0.212 0.459
2 Ho 0.753 0.788 0.541
3 Ho 0.753 0.965 0.212
4 Ho 0.247 0.788 0.035
5 Ho 0.753 0.541 0.788
6 Ho 0.396 0.698 0.698
7 Ho 0.000 0.698 0.302
8 Ho 0.247 0.035 0.788
9 Ho 0.000 0.302 0.698
10 Ho 0.247 0.459 0.212
11 Ho 0.753 0.212 0.965
12 Ho 0.604 0.302 0.302
13 In 0.500 0.000 0.500
14 In 0.500 0.500 0.000
15 In 0.000 0.000 0.000
16 Fe 0.000 0.391 0.391
17 Fe 0.000 0.609 0.609

Entry 3:
The following is a GGA-PBEsol calculation of crystalline HoMnFe at its relaxed geometry, from Alexandria.

Calculated values
The value obtained for the density of states at the Fermi level is 7.31 states/eV/cell. As for the crystal system: orthorhombic. The space group is Imma. As for the formation energy: 18 meV per atom.

abc: 5.082 5.030 5.030
angles: 56.97 59.66 59.66
Element x y z (fractional)
1 Fe 0.500 0.500 0.000
2 Fe 0.000 0.500 0.000
3 Ho 0.127 0.123 0.623
4 Ho 0.873 0.877 0.377
5 Mn 0.500 0.000 0.000
6 Mn 0.500 0.500 0.500

Entry 4:
The following is a GGA-PBEsol calculation of crystalline Ho2Fe12P7 at its relaxed geometry, from Alexandria.

Calculated values
The value obtained for the density of states at the Fermi level is 21.17 states/eV/cell. As for the crystal system: hexagonal. The space group is P-6. As for the formation energy: -834 meV per atom.

abc: 3.585 8.808 8.808
angles: 120.00 90.00 90.00
Element x y z (fractional)
1 Fe 0.000 0.390 0.092
2 Fe 0.500 0.122 0.551
3 Fe 0.000 0.703 0.610
4 Fe 0.000 0.607 0.821
5 Fe 0.000 0.908 0.297
6 Fe 0.500 0.284 0.234
7 Fe 0.500 0.950 0.716
8 Fe 0.500 0.766 0.050
9 Fe 0.000 0.214 0.393
10 Fe 0.500 0.449 0.571
11 Fe 0.000 0.179 0.786
12 Fe 0.500 0.429 0.878
13 P 0.500 0.734 0.778
14 P 0.500 0.222 0.956
15 P 0.000 0.631 0.078
16 P 0.000 0.446 0.369
17 P 0.500 0.044 0.266
18 P 0.000 0.333 0.667
19 P 0.000 0.922 0.554
20 Ho 0.500 0.667 0.333
21 Ho 0.000 0.000 0.000